# 1
10
Lattice="2.6082 1.5058 4.6687 -2.6082 1.5058 4.6687 0.0000 -3.0117 4.6687" Properties=species:S:1:pos:R:3 comment="Ni2SbRuO6 | Alexandria via LeMat-Bulk | GGA+U | relaxed" spacegroup=R3 pbc="T T T"
Ni 0.0000 0.0000 0.0000
Ni 0.0000 0.0000 6.9888
Sb 0.0000 0.0000 2.8415
Ru 0.0000 0.0000 9.8110
O -1.8516 0.1208 6.1403
O -0.7698 -1.3861 8.4529
O 0.8212 -1.6639 6.1403
O -0.8155 1.3597 8.4529
O 1.0304 1.5431 6.1403
O 1.5853 0.0264 8.4529

# 2
5
Lattice="3.7189 0.0000 0.0000 0.0000 3.7189 0.0000 0.0000 0.0000 4.9158" Properties=species:S:1:pos:R:3 comment="Ni2RuSeO | Alexandria via LeMat-Bulk | GGA+U | relaxed" spacegroup=P4/mmm pbc="T T T"
Ni 0.0000 1.8594 0.0000
Ni 1.8594 0.0000 0.0000
Ru 0.0000 0.0000 2.4579
Se 1.8594 1.8594 2.4579
O 1.8594 1.8594 0.0000

# 3
5
Lattice="3.7027 0.0000 0.0000 0.0000 3.7027 0.0000 0.0000 0.0000 5.6004" Properties=species:S:1:pos:R:3 comment="NiRuSeO2 | Alexandria via LeMat-Bulk | GGA+U | relaxed" spacegroup=P4/mmm pbc="T T T"
Ni 0.0000 0.0000 0.0000
Ru 1.8513 1.8513 2.8002
Se 1.8513 1.8513 0.0000
O 0.0000 1.8513 2.8002
O 1.8513 0.0000 2.8002

# 4
20
Lattice="5.3803 0.0000 0.0000 0.0000 5.8059 0.0000 -5.3494 0.0000 7.7384" Properties=species:S:1:pos:R:3 comment="Sm2NiRuO6 | Alexandria via LeMat-Bulk | GGA+U | relaxed" spacegroup=P2_1/c pbc="T T T"
Sm -0.1163 0.4260 1.9402
Sm -2.7910 2.4769 5.8094
Sm 2.8219 3.3289 1.9290
Sm 0.1472 5.3798 5.7982
Ni 2.6901 0.0000 0.0000
Ni 0.0154 2.9029 3.8692
Ru -2.6747 0.0000 3.8692
Ru 0.0000 2.9029 0.0000
O -4.3532 1.1640 7.3061
O -1.6784 1.7390 3.4369
O -3.7027 4.0264 7.3268
O -1.0280 4.6824 3.4576
O -2.0820 0.2063 5.7747
O 0.5927 2.6967 1.9055
O -0.5619 3.1092 5.8329
O 2.1129 5.5996 1.9637
O 1.0589 1.1235 4.2808
O 3.7336 1.7794 0.4116
O 1.7093 4.0669 4.3016
O 4.3840 4.6419 0.4323

# 5
5
Lattice="4.8493 0.0000 0.0000 0.0000 4.8493 0.0000 0.0000 0.0000 3.4109" Properties=species:S:1:pos:R:3 comment="NiSnRu2O | Alexandria via LeMat-Bulk | GGA+U | relaxed" spacegroup=P4/mmm pbc="T T T"
Ni 0.0000 0.0000 0.0000
Sn 2.4246 2.4246 1.7054
Ru 0.0000 2.4246 0.0000
Ru 2.4246 0.0000 0.0000
O 0.0000 0.0000 1.7054

# 6
10
Lattice="5.8301 0.0000 0.0000 0.0000 5.8301 0.0000 0.0000 0.0000 3.8626" Properties=species:S:1:pos:R:3 comment="Ni2SnRuO6 | Alexandria via LeMat-Bulk | GGA+U | relaxed" spacegroup=P4mm pbc="T T T"
Ni 0.0000 2.9150 0.0000
Ni 2.9150 0.0000 0.0000
Sn 0.0000 0.0000 3.2368
Ru 2.9150 2.9150 3.3122
O 0.0000 0.0000 1.3350
O 1.4728 1.4728 3.4972
O 1.4728 4.3572 3.4972
O 2.9150 2.9150 1.4318
O 4.3572 1.4728 3.4972
O 4.3572 4.3572 3.4972

# 7
12
Lattice="-2.0296 2.0296 8.4108 2.0296 -2.0296 8.4108 2.0296 2.0296 -8.4108" Properties=species:S:1:pos:R:3 comment="SrNi2Ru2O7 | Alexandria via LeMat-Bulk | GGA+U | relaxed" spacegroup=I4/mmm pbc="T T T"
Sr 0.0000 0.0000 0.0000
Ni 2.0296 0.0000 4.2054
Ni 0.0000 2.0296 4.2054
Ru 0.0000 0.0000 6.4844
Ru 0.0000 0.0000 10.3371
O 2.0296 0.0000 2.0244
O 0.0000 0.0000 4.4569
O 2.0296 0.0000 6.3864
O 0.0000 0.0000 8.4108
O 0.0000 2.0296 2.0244
O 0.0000 0.0000 12.3647
O 0.0000 2.0296 6.3864

# 8
15
Lattice="5.6263 0.0000 0.0000 -2.8131 4.8725 0.0000 0.0000 0.0000 6.9010" Properties=species:S:1:pos:R:3 comment="Sr3NiRu2O9 | Alexandria via LeMat-Bulk | GGA+U | relaxed" spacegroup=P-3m1 pbc="T T T"
Sr 0.0000 0.0000 0.0000
Sr 0.0000 3.2483 4.5807
Sr 2.8131 1.6242 2.3203
Ni 0.0000 0.0000 3.4505
Ru 0.0000 3.2483 1.2005
Ru 2.8131 1.6242 5.7005
O -1.4066 2.4362 0.0000
O 0.0000 1.6539 2.2672
O -1.3808 4.0456 2.2672
O 1.4323 0.8269 4.6338
O 2.8131 0.0000 0.0000
O 1.4066 2.4362 0.0000
O 1.3808 4.0456 2.2672
O 4.1940 0.8269 4.6338
O 2.8131 3.2186 4.6338

# 9
10
Lattice="5.8953 0.0000 0.0000 0.0000 5.8953 0.0000 0.0000 0.0000 3.8766" Properties=species:S:1:pos:R:3 comment="Ni2TeRuO6 | Alexandria via LeMat-Bulk | GGA+U | relaxed" spacegroup=P4mm pbc="T T T"
Ni 0.0000 2.9477 0.0000
Ni 2.9477 0.0000 0.0000
Te 0.0000 0.0000 3.3906
Ru 2.9477 2.9477 3.4292
O 0.0000 0.0000 1.4832
O 1.4701 1.4701 3.5995
O 1.4701 4.4252 3.5995
O 2.9477 2.9477 1.5258
O 4.4252 1.4701 3.5995
O 4.4252 4.4252 3.5995

# 10
18
Lattice="5.1945 0.0000 0.0000 -2.5972 4.4985 0.0000 0.0000 0.0000 8.8690" Properties=species:S:1:pos:R:3 comment="NiTeRuO6 | Alexandria via LeMat-Bulk | GGA+U | relaxed" spacegroup=P-31c pbc="T T T"
Ni 0.0000 0.0000 0.0000
Ni 0.0000 0.0000 4.4345
Te 0.0000 2.9990 2.2173
Te 2.5972 1.4995 6.6518
Ru 0.0000 2.9990 6.6518
Ru 2.5972 1.4995 2.2173
O -0.9024 1.5660 1.1646
O 4.2894 1.5645 5.5991
O -1.6922 2.9340 3.2699
O 3.4996 2.9325 7.7044
O -0.7898 4.4970 1.1646
O 1.8074 0.0015 5.5991
O 0.9024 1.5660 3.2699
O 0.9050 1.5645 7.7044
O 0.7898 4.4970 3.2699
O 3.3871 0.0015 7.7044
O 1.6922 2.9340 1.1646
O 1.6949 2.9325 5.5991

# 11
14
Lattice="5.5673 0.0000 0.0000 0.0000 5.8720 0.0000 -0.0152 0.0000 6.8354" Properties=species:S:1:pos:R:3 comment="TlNiRuO4 | Alexandria via LeMat-Bulk | GGA+U | relaxed" spacegroup=P2_1/m pbc="T T T"
Tl 1.1815 1.4680 0.9046
Tl 4.3706 4.4040 5.9308
Ni 1.4190 4.4040 3.4613
Ni 4.1331 1.4680 3.3741
Ru 1.6143 1.4680 4.8492
Ru 3.9378 4.4040 1.9862
O 0.7158 3.0552 4.7610
O 0.7158 5.7527 4.7610
O 2.1151 4.4040 1.5827
O 2.1860 1.4680 3.0030
O 3.3661 4.4040 3.8324
O 3.4369 1.4680 5.2527
O 4.8363 0.1193 2.0744
O 4.8363 2.8167 2.0744

# 12
15
Lattice="5.4160 -3.1246 0.0000 5.4160 3.1246 0.0000 -3.6271 0.0000 6.0888" Properties=species:S:1:pos:R:3 comment="Tl3Ni3RuO8 | Alexandria via LeMat-Bulk | GGA+U | relaxed" spacegroup=C2/m pbc="T T T"
Tl 0.0000 0.0000 0.0000
Tl 2.7080 1.5623 0.0000
Tl 2.7080 -1.5623 0.0000
Ni 0.8944 1.5623 3.0444
Ni 0.8944 -1.5623 3.0444
Ni 3.6024 0.0000 3.0444
Ru -1.8136 0.0000 3.0444
O -0.1823 0.0000 4.1358
O 2.7853 1.7095 4.1328
O 4.4196 1.7095 1.9560
O 1.7968 0.0000 2.1363
O 5.4081 0.0000 3.9524
O 2.7853 -1.7095 4.1328
O 4.4196 -1.7095 1.9560
O 7.3872 0.0000 1.9530

| no. | raw total energy (eV/atom) |
| --- | --- |
| 1 | -5.896 |
| 2 | -4.152 |
| 3 | -5.351 |
| 4 | -7.334 |
| 5 | -5.256 |
| 6 | -5.575 |
| 7 | -6.235 |
| 8 | -6.501 |
| 9 | -5.281 |
| 10 | -5.905 |
| 11 | -5.538 |
| 12 | -5.017 |